Entry 1:
Computed, not measured: PmErZr2 after structural relaxation at the GGA-PBE level of DFT.

* crystal system: trigonal
* polymorph energy (0 for the lowest one): 0.017 eV per formula unit
* energy of formation from the pure elements: 0.60 eV per formula unit
* theoretical density: 7.65 g cm⁻³

a b c (Å): 3.3554 3.3554 11.1781
angles (deg): 81.37 81.37 60.00
Element x y z (fractional)
Er 0.5000 0.5000 0.5000
Pm 0.0000 0.0000 0.0000
Zr 0.2489 0.2489 0.2532
Zr 0.7511 0.7511 0.7468

***

Entry 2:
Computed, not measured: PmErZr2 after structural relaxation at the GGA-PBE level of DFT.

* crystal system: tetragonal
* polymorph energy (0 for the lowest one): 0.320 eV per formula unit
* energy of formation from the pure elements: 0.90 eV per formula unit
* theoretical density: 7.60 g cm⁻³

a b c (Å): 3.9477 3.9477 6.9334
angles (deg): 90.00 90.00 90.00
Element x y z (fractional)
Pm 0.5000 0.5000 0.0000
Zr 0.0000 0.0000 0.2752
Zr 0.0000 0.0000 0.7248
Er 0.5000 0.5000 0.5000

***

Entry 3:
Computed, not measured: Pm2ErZr after structural relaxation at the GGA-PBE level of DFT.

* crystal system: monoclinic
* polymorph energy (0 for the lowest one): 0.004 eV per formula unit
* energy of formation from the pure elements: 0.46 eV per formula unit
* theoretical density: 7.60 g cm⁻³

a b c (Å): 3.4938 3.4938 11.5283
angles (deg): 81.24 81.24 59.96
Element x y z (fractional)
Zr 0.6667 0.6667 0.9986
Pm 0.0796 0.0796 0.7624
Pm 0.2545 0.2545 0.2372
Er 0.4992 0.4992 0.5017

***

Entry 4:
Computed, not measured: Pm2ErZr after structural relaxation at the GGA-PBE level of DFT.

* crystal system: cubic
* polymorph energy (0 for the lowest one): 0.393 eV per formula unit
* energy of formation from the pure elements: 0.85 eV per formula unit
* theoretical density: 7.60 g cm⁻³

a b c (Å): 5.5334 5.5334 5.5334
angles (deg): 60.00 60.00 60.00
Each line ends with the local moment (μB).
Element x y z (fractional)
Pm 0.2500 0.2500 0.2500  0.14
Pm 0.7500 0.7500 0.7500  0.14
Zr 0.5000 0.5000 0.5000  0.61
Er 0.0000 0.0000 0.0000  0.02

***

Entry 5:
Computed, not measured: PmEr4Zr after structural relaxation at the GGA-PBE level of DFT.

* crystal system: tetragonal
* energy of formation from the pure elements: 4.08 eV per formula unit
* theoretical density: 7.00 g cm⁻³

a b c (Å): 4.8122 4.8121 9.2777
angles (deg): 90.00 90.00 90.00
Each line ends with the local moment (μB).
Element x y z (fractional)
Zr 0.4973 0.5013 0.0019  0.25
Er 0.4973 0.0013 0.2119  0.03
Er 0.9973 0.5013 0.7918  0.03
Er 0.9973 0.5013 0.2119  0.03
Er 0.4973 0.0013 0.7918  0.03
Pm 0.9973 0.0013 0.5019  -0.06

***

Entry 6:
Computed, not measured: Pm2Er12Zr after structural relaxation at the GGA-PBE level of DFT.

* crystal system: triclinic
* energy of formation from the pure elements: 1.06 eV per formula unit
* theoretical density: 8.65 g cm⁻³

a b c (Å): 6.4640 6.4653 24.9628
angles (deg): 91.20 78.30 64.68
Element x y z (fractional)
Pm 0.9783 0.3868 0.2709
Pm 0.0209 0.6139 0.7307
Pm 0.5217 0.1132 0.7291
Pm 0.4791 0.8861 0.2693
Er 0.0976 0.2027 0.4014
Er 0.4355 0.5277 0.0617
Er 0.4388 0.6550 0.8120
Er 0.5406 0.2321 0.4585
Er 0.1232 0.3141 0.1267
Er 0.4187 0.4169 0.3308
Er 0.5580 0.4659 0.9383
Er 0.9384 0.1547 0.8119
Er 0.9182 0.9169 0.3306
Er 0.9594 0.2679 0.5415
Er 0.0612 0.8450 0.1880
Er 0.6264 0.8129 0.1233
Er 0.0813 0.0831 0.6692
Er 0.4598 0.7691 0.5416
Er 0.3768 0.1859 0.8733
Er 0.8736 0.6871 0.8767
Er 0.0645 0.9723 0.9383
Er 0.9039 0.7956 0.5985
Er 0.5961 0.7044 0.4015
Er 0.0402 0.7309 0.4584
Er 0.5818 0.5831 0.6694
Er 0.9420 0.0341 0.0617
Er 0.5616 0.3453 0.1881
Er 0.4024 0.2973 0.5986
Zr 0.4785 0.0216 0.9999
Zr 0.0215 0.4784 0.0001